VASP calculation (PBE) on crystalline SrThAu2 at its relaxed geometry.

The structure in POSCAR format:
```
SrThAu2
1.0
4.204 0.000 0.000
2.102 3.641 0.000
2.102 1.214 8.001
Sr Th Au
1 1 2
direct
0.498 0.498 0.507 Sr
0.668 0.668 0.997 Th
0.075 0.075 0.774 Au
0.259 0.259 0.222 Au
```



VASP calculation (PBE) on crystalline SrThAu2 at its relaxed geometry.

The structure in POSCAR format:
```
SrThAu2
1.0
-2.932 -3.391 -2.855
1.342 -1.095 -5.025
1.938 -4.789 -1.249
Sr Au Th
1 2 1
direct
0.500 0.500 0.500 Sr
0.250 0.250 0.250 Au
0.750 0.750 0.750 Au
0.000 0.000 0.000 Th
```



VASP calculation (PBE) on crystalline SrThAu3 at its relaxed geometry.

The structure in POSCAR format:
```
SrThAu3
1.0
-1.174 2.069 -3.135
0.299 -3.879 -2.672
-13.065 -4.180 4.606
Sr Th Au
2 2 6
direct
0.928 0.750 0.856 Sr
0.072 0.250 0.144 Sr
0.203 0.750 0.405 Th
0.797 0.250 0.595 Th
0.622 0.750 0.244 Au
0.378 0.250 0.756 Au
0.526 0.750 0.051 Au
0.474 0.250 0.949 Au
0.690 0.250 0.379 Au
0.310 0.750 0.621 Au
```



VASP calculation (PBE) on crystalline SrThAu4 at its relaxed geometry.

The structure in POSCAR format:
```
SrThAu4
1.0
-3.226 -0.191 1.720
1.111 -4.554 1.579
3.365 3.130 6.661
Sr Th Au
1 1 4
direct
0.999 0.497 0.998 Sr
0.999 0.997 0.498 Th
0.499 0.997 0.173 Au
0.498 0.997 0.823 Au
0.499 0.497 0.666 Au
0.499 0.497 0.330 Au
```



VASP calculation (PBE) on crystalline SrThTlAu at its relaxed geometry.

The structure in POSCAR format:
```
SrThTlAu
1.0
-1.482 3.975 -3.466
-4.175 -0.796 -3.456
-4.724 2.669 0.752
Sr Tl Au Th
1 1 1 1
direct
0.750 0.750 0.750 Sr
0.500 0.500 0.500 Tl
0.000 0.000 0.000 Au
0.250 0.250 0.250 Th
```



VASP calculation (PBE) on crystalline SrThZnAu at its relaxed geometry.

The structure in POSCAR format:
```
SrThZnAu
1.0
5.314 0.000 0.000
2.657 4.602 0.000
2.657 1.534 4.339
Sr Zn Au Th
1 1 1 1
direct
0.250 0.250 0.250 Sr
0.000 0.000 0.000 Zn
0.500 0.500 0.500 Au
0.750 0.750 0.750 Th
```



Number 1: V 30.62 Å³ per atom, magnetic moment 0.00 μB per formula unit, formation energy from the elements -0.576 eV/atom. Number 2: V 26.54 Å³ per atom, magnetic moment 0.00 μB per formula unit, formation energy from the elements -0.566 eV/atom. Number 3: V 26.63 Å³ per atom, magnetic moment 0.00 μB per formula unit, formation energy from the elements -0.701 eV/atom. Number 4: V 24.42 Å³ per atom, magnetic moment 0.00 μB per formula unit, formation energy from the elements -0.726 eV/atom. Number 5: V 29.06 Å³ per atom, magnetic moment 0.00 μB per formula unit, formation energy from the elements -0.340 eV/atom. Number 6: V 26.52 Å³ per atom, magnetic moment 0.00 μB per formula unit, formation energy from the elements -0.317 eV/atom.